Record 1
Dy2Mg3Tl after structural relaxation, computed with PBE.

Lattice parameters (Å, degrees): 6.1696 6.1696 9.4642 101.70 101.70 112.21
Fractional positions:
1 Dy 0.2500 0.7500 0.5000
2 Dy 0.7490 0.7490 0.0000
3 Dy 0.7500 0.2500 0.5000
4 Dy 0.2510 0.2510 0.0000
5 Mg 0.6664 0.1680 0.8344
6 Mg 0.8320 0.3336 0.1656
7 Mg 0.3336 0.8320 0.1656
8 Mg 0.1680 0.6664 0.8344
9 Mg 0.8335 0.8335 0.6670
10 Mg 0.1665 0.1665 0.3330
11 Tl 0.3337 0.3337 0.6674
12 Tl 0.6663 0.6663 0.3326

The total energy comes out at -2.884 eV per atom. The calculation puts the formation energy at -0.159 eV per atom. Its crystal system is orthorhombic. Its magnetic moment is 0.00 μB/atom.

=====

Record 2
InNi2Os after structural relaxation, computed with PBE.

Lattice parameters (Å, degrees): 3.8693 3.8693 8.9935 77.58 77.58 90.00
Each line ends with the local moment (μB).
Fractional positions:
1 Ni 0.6734 0.1250 0.2500  0.18
2 Ni 0.0766 0.6250 0.2500  0.18
3 Ni 0.3750 0.3266 0.7500  0.20
4 Ni 0.8750 0.9234 0.7500  0.19
5 Os 0.0000 0.0000 0.0000  0.52
6 Os 0.7500 0.2500 0.5000  0.52
7 In 0.5000 0.5000 0.0000  -0.01
8 In 0.2500 0.7500 0.5000  -0.01

The total energy comes out at -5.683 eV per atom. The calculation puts the formation energy at 0.700 eV per atom. Its crystal system is tetragonal. Its magnetic moment is 0.23 μB/atom.

=====

Record 3
Zn7Ni3 after structural relaxation, computed with PBE.

Lattice parameters (Å, degrees): 3.7766 5.2222 7.0415 103.13 105.56 90.00
Fractional positions:
1 Zn 0.0000 0.5000 0.0000
2 Zn 0.7974 0.8786 0.5948
3 Zn 0.2026 0.1214 0.4052
4 Zn 0.6079 0.3140 0.2158
5 Zn 0.3921 0.6860 0.7842
6 Zn 0.5989 0.8109 0.1978
7 Zn 0.4011 0.1891 0.8022
8 Ni 0.0000 0.0000 0.0000
9 Ni 0.8059 0.3909 0.6118
10 Ni 0.1941 0.6091 0.3882

The total energy comes out at -2.790 eV per atom. The calculation puts the formation energy at -0.164 eV per atom. Its crystal system is monoclinic. The relative energy among the computed polymorphs comes out at 0.0000 eV/atom. Its magnetic moment is 0.00 μB/atom.

=====

Record 4
BaPu2AgS4 after structural relaxation, computed with PBE.

Lattice parameters (Å, degrees): 4.1506 7.1384 13.9995 90.00 90.00 106.90
Each line ends with the local moment (μB).
Fractional positions:
1 Ba 0.1197 0.2395 0.7500  0.03
2 Ba 0.8803 0.7605 0.2500  0.03
3 Pu 0.3707 0.7415 0.5595  5.33
4 Pu 0.6293 0.2585 0.0595  5.33
5 Pu 0.6293 0.2585 0.4405  5.33
6 Pu 0.3707 0.7415 0.9405  5.33
7 Ag 0.8492 0.6983 0.7500  0.01
8 Ag 0.1508 0.3017 0.2500  0.01
9 S 0.2647 0.5294 0.1078  -0.08
10 S 0.7353 0.4706 0.6078  -0.08
11 S 0.7353 0.4706 0.8922  -0.08
12 S 0.2647 0.5294 0.3922  -0.08
13 S 0.0000 0.0000 0.5000  -0.11
14 S 0.0000 0.0000 0.0000  -0.11
15 S 0.4519 0.9038 0.7500  -0.04
16 S 0.5481 0.0962 0.2500  -0.04

The total energy comes out at -7.752 eV per atom. Its crystal system is orthorhombic. Its magnetic moment is 1.38 μB/atom.